one | Below is a relaxed structure of ZnCuReOs, with properties calculated at the GGA-PBE level.

a = 4.277 Å, b = 4.277 Å, c = 4.277 Å
α = 60.00°, β = 60.00°, γ = 60.00°
Positions (direct):
Zn  0.000  0.000  0.000
Re  0.500  0.500  0.500
Os  0.250  0.250  0.250
Cu  0.750  0.750  0.750

The space-group type is F-43m, No. 216.



two | Below is a relaxed structure of ZnCuReOs, with properties calculated at the GGA-PBE level.

a = 4.233 Å, b = 4.233 Å, c = 4.233 Å
α = 60.00°, β = 60.00°, γ = 60.00°
Positions (direct):
Re  0.500  0.500  0.500
Os  0.000  0.000  0.000
Cu  0.750  0.750  0.750
Zn  0.250  0.250  0.250

The space-group type is F-43m, No. 216.



one takes first place; second place is 30.3 kJ/mol of atoms up.